Record 1
The following is a SCAN calculation of HfRh3I at its PBEsol-relaxed geometry, from Alexandria.

a = 4.7566 Å, b = 4.7566 Å, c = 4.7566 Å
α = 90.00°, β = 90.00°, γ = 90.00°
Last column: nearest neighbours and their distance in Å.
Fractional positions:
I 0.5000 0.5000 0.5000  12 Rh 3.36
Rh 0.0000 0.0000 0.5000  2 Hf 2.38
Rh 0.5000 0.0000 0.0000  2 Hf 2.38
Rh 0.0000 0.5000 0.0000  2 Hf 2.38
Hf 0.0000 0.0000 0.0000  6 Rh 2.38

Properties
E above lowest polymorph (kJ/mol of formula units): 0
Total magnetization (μB/f.u.): 0.00
Crystal system: cubic
Calculated total energy (eV per atom): -39.267
Formation energy from raw total energies (eV per atom): 0.879
V (Å³/atom): 21.52



Record 2
The following is a SCAN calculation of HfTe2RhI at its PBEsol-relaxed geometry, from Alexandria.

a = 5.1015 Å, b = 5.1106 Å, c = 5.1106 Å
α = 90.00°, β = 90.00°, γ = 90.00°
Last column: nearest neighbours and their distance in Å.
Fractional positions:
I 0.5000 0.0000 0.0000  2 Rh 2.55
Te 0.0000 0.5000 0.0000  2 Rh 2.56
Te 0.0000 0.0000 0.5000  2 Rh 2.56
Hf 0.5000 0.5000 0.5000  8 Te 3.61, 4 I 3.61
Rh 0.0000 0.0000 0.0000  2 I 2.55, 4 Te 2.56

Properties
Total magnetization (μB/f.u.): 0.00
Crystal system: tetragonal
Calculated total energy (eV per atom): -41.060
Formation energy from raw total energies (eV per atom): 0.477
V (Å³/atom): 26.65



Record 3
The following is a SCAN calculation of HfRu3I at its PBEsol-relaxed geometry, from Alexandria.

a = 4.6692 Å, b = 4.6692 Å, c = 4.6692 Å
α = 90.00°, β = 90.00°, γ = 90.00°
Last column: nearest neighbours and their distance in Å.
Fractional positions:
Ru 0.5000 0.0000 0.0000  2 I 2.33
Ru 0.0000 0.0000 0.5000  2 I 2.33
Ru 0.0000 0.5000 0.0000  2 I 2.33
Hf 0.5000 0.5000 0.5000  12 Ru 3.30
I 0.0000 0.0000 0.0000  6 Ru 2.33

Properties
Total magnetization (μB/f.u.): 0.00
Crystal system: cubic
Calculated total energy (eV per atom): -39.240
Formation energy from raw total energies (eV per atom): 1.539
V (Å³/atom): 20.36



Record 4
The following is a SCAN calculation of Hf3RuI at its PBEsol-relaxed geometry, from Alexandria.

a = 5.0067 Å, b = 5.0067 Å, c = 5.0067 Å
α = 90.00°, β = 90.00°, γ = 90.00°
Last column: nearest neighbours and their distance in Å.
Fractional positions:
I 0.0000 0.0000 0.0000  6 Hf 2.50
Hf 0.0000 0.5000 0.0000  2 I 2.50
Hf 0.5000 0.0000 0.0000  2 I 2.50
Hf 0.0000 0.0000 0.5000  2 I 2.50
Ru 0.5000 0.5000 0.5000  12 Hf 3.54

Properties
Total magnetization (μB/f.u.): 0.00
Crystal system: cubic
Calculated total energy (eV per atom): -50.176
Formation energy from raw total energies (eV per atom): 1.742
V (Å³/atom): 25.10



Record 5
The following is a SCAN calculation of HfSbI3 at its PBEsol-relaxed geometry, from Alexandria.

a = 5.6155 Å, b = 5.6155 Å, c = 5.6155 Å
α = 90.00°, β = 90.00°, γ = 90.00°
Last column: nearest neighbours and their distance in Å.
Fractional positions:
Sb 0.5000 0.5000 0.5000  12 I 3.97
Hf 0.0000 0.0000 0.0000  6 I 2.81
I 0.0000 0.5000 0.0000  2 Hf 2.81
I 0.5000 0.0000 0.0000  2 Hf 2.81
I 0.0000 0.0000 0.5000  2 Hf 2.81

Properties
Total magnetization (μB/f.u.): 3.14
Crystal system: cubic
Calculated total energy (eV per atom): -41.948
Formation energy from raw total energies (eV per atom): 0.083
V (Å³/atom): 35.41



Record 6
The following is a SCAN calculation of Hf3SbI at its PBEsol-relaxed geometry, from Alexandria.

a = 5.2504 Å, b = 5.2504 Å, c = 5.2504 Å
α = 90.00°, β = 90.00°, γ = 90.00°
Last column: nearest neighbours and their distance in Å.
Fractional positions:
I 0.5000 0.5000 0.5000  12 Hf 3.71
Sb 0.0000 0.0000 0.0000  6 Hf 2.63
Hf 0.5000 0.0000 0.0000  2 Sb 2.63
Hf 0.0000 0.0000 0.5000  2 Sb 2.63
Hf 0.0000 0.5000 0.0000  2 Sb 2.63

Properties
Total magnetization (μB/f.u.): 0.00
Crystal system: cubic
Calculated total energy (eV per atom): -51.194
Formation energy from raw total energies (eV per atom): 1.211
V (Å³/atom): 28.95



Record 7
The following is a SCAN calculation of HfScSb2I at its PBEsol-relaxed geometry, from Alexandria.

a = 5.4485 Å, b = 5.4572 Å, c = 5.4572 Å
α = 90.00°, β = 90.00°, γ = 90.00°
Last column: nearest neighbours and their distance in Å.
Fractional positions:
Hf 0.0000 0.0000 0.0000  2 I 2.72, 4 Sb 2.73
Sb 0.0000 0.0000 0.5000  2 Hf 2.73
Sb 0.0000 0.5000 0.0000  2 Hf 2.73
I 0.5000 0.0000 0.0000  2 Hf 2.72
Sc 0.5000 0.5000 0.5000  8 Sb 3.86, 4 I 3.86

Properties
Total magnetization (μB/f.u.): 0.97
Crystal system: tetragonal
Calculated total energy (eV per atom): -37.436
Formation energy from raw total energies (eV per atom): 0.199
V (Å³/atom): 32.45



Record 8
The following is a SCAN calculation of HfTaSbI2 at its PBEsol-relaxed geometry, from Alexandria.

a = 5.3807 Å, b = 5.3807 Å, c = 5.6352 Å
α = 90.00°, β = 90.00°, γ = 90.00°
Last column: nearest neighbours and their distance in Å.
Fractional positions:
Ta 0.5000 0.5000 0.5000  4 Sb 3.80, 8 I 3.90
I 0.5000 0.0000 0.0000  2 Hf 2.69
I 0.0000 0.5000 0.0000  2 Hf 2.69
Sb 0.0000 0.0000 0.5000  2 Hf 2.82
Hf 0.0000 0.0000 0.0000  4 I 2.69, 2 Sb 2.82

Properties
Total magnetization (μB/f.u.): 3.73
Crystal system: tetragonal
Calculated total energy (eV per atom): -46.880
Formation energy from raw total energies (eV per atom): 1.120
V (Å³/atom): 32.63



Record 9
The following is a SCAN calculation of HfSbTe2I at its PBEsol-relaxed geometry, from Alexandria.

a = 5.5417 Å, b = 5.5417 Å, c = 5.6488 Å
α = 90.00°, β = 90.00°, γ = 90.00°
Last column: nearest neighbours and their distance in Å.
Fractional positions:
Hf 0.5000 0.5000 0.5000  4 Sb 3.92, 8 Te 3.96
Te 0.0000 0.5000 0.0000  2 I 2.77
Te 0.5000 0.0000 0.0000  2 I 2.77
I 0.0000 0.0000 0.0000  4 Te 2.77, 2 Sb 2.82
Sb 0.0000 0.0000 0.5000  2 I 2.82

Properties
Total magnetization (μB/f.u.): 0.71
Crystal system: tetragonal
Calculated total energy (eV per atom): -40.878
Formation energy from raw total energies (eV per atom): 1.357
V (Å³/atom): 34.70



Record 10
The following is a SCAN calculation of HfTlSbI2 at its PBEsol-relaxed geometry, from Alexandria.

a = 5.6254 Å, b = 5.7168 Å, c = 5.7168 Å
α = 90.00°, β = 90.00°, γ = 90.00°
Last column: nearest neighbours and their distance in Å.
Fractional positions:
Sb 0.5000 0.0000 0.0000  2 Tl 2.81
Hf 0.5000 0.5000 0.5000  8 I 4.01, 4 Sb 4.04
Tl 0.0000 0.0000 0.0000  2 Sb 2.81, 4 I 2.86
I 0.0000 0.5000 0.0000  2 Tl 2.86
I 0.0000 0.0000 0.5000  2 Tl 2.86

Properties
Total magnetization (μB/f.u.): 1.11
Crystal system: tetragonal
Calculated total energy (eV per atom): -48.168
Formation energy from raw total energies (eV per atom): 0.987
V (Å³/atom): 36.77



Record 11
The following is a SCAN calculation of HfTl2SbI at its PBEsol-relaxed geometry, from Alexandria.

a = 5.3669 Å, b = 5.9815 Å, c = 5.9815 Å
α = 90.00°, β = 90.00°, γ = 90.00°
Last column: nearest neighbours and their distance in Å.
Fractional positions:
I 0.5000 0.5000 0.5000  8 Tl 4.02, 4 Hf 4.23
Tl 0.0000 0.5000 0.0000  2 Sb 2.99
Tl 0.0000 0.0000 0.5000  2 Sb 2.99
Hf 0.5000 0.0000 0.0000  2 Sb 2.68
Sb 0.0000 0.0000 0.0000  2 Hf 2.68, 4 Tl 2.99

Properties
Total magnetization (μB/f.u.): 2.13
Crystal system: tetragonal
Calculated total energy (eV per atom): -55.710
Formation energy from raw total energies (eV per atom): 0.568
V (Å³/atom): 38.40



Record 12
The following is a SCAN calculation of HfZnSbI2 at its PBEsol-relaxed geometry, from Alexandria.

a = 5.5834 Å, b = 5.5601 Å, c = 5.5601 Å
α = 90.00°, β = 90.00°, γ = 90.00°
Last column: nearest neighbours and their distance in Å.
Fractional positions:
Zn 0.5000 0.5000 0.5000  4 Sb 3.93, 8 I 3.94
Sb 0.5000 0.0000 0.0000  2 Hf 2.79
I 0.0000 0.5000 0.0000  2 Hf 2.78
I 0.0000 0.0000 0.5000  2 Hf 2.78
Hf 0.0000 0.0000 0.0000  4 I 2.78, 2 Sb 2.79

Properties
Total magnetization (μB/f.u.): 0.00
Crystal system: tetragonal
Calculated total energy (eV per atom): -37.283
Formation energy from raw total energies (eV per atom): 0.103
V (Å³/atom): 34.52